[1]
This record from Alexandria via LeMat-Bulk describes crystalline Ca2BeAlAs at its relaxed geometry. The functional is GGA-PBE.

```
Ca2BeAlAs
1.0
-2.149 -0.601 5.220
2.037 -3.710 0.412
4.496 2.708 2.163
Al As Be Ca
1 1 1 2
direct
0.000 0.000 0.000 Al
0.500 0.500 0.500 As
0.000 0.500 0.000 Be
0.000 0.000 0.500 Ca
0.500 0.000 0.000 Ca
```

Values from the calculation:
Magnetization ... 0.00 Bohr magnetons per cell
Calculated volume ... 27.406 A^3/atom
ΔH_f (0 K) ... 21.0 kJ per mole of atoms



[2]
This record from Alexandria via LeMat-Bulk describes crystalline La2NdTlC at its relaxed geometry. The functional is GGA-PBE.

```
La2NdTlC
1.0
5.188 0.000 0.000
0.000 5.216 0.000
0.000 0.000 5.216
Tl Nd C La
1 1 1 2
direct
0.500 0.500 0.500 Tl
0.500 0.000 0.000 Nd
0.000 0.000 0.000 C
0.000 0.500 0.000 La
0.000 0.000 0.500 La
```

Values from the calculation:
Magnetization ... 0.00 Bohr magnetons per cell
Calculated volume ... 28.227 A^3/atom
ΔH_f (0 K) ... -27.8 kJ per mole of atoms



[3]
This record from Alexandria via LeMat-Bulk describes crystalline BaCrRu3 at its relaxed geometry. The functional is GGA-PBE.

```
BaCrRu3
1.0
-1.335 -2.060 -4.233
-3.419 -2.599 2.344
-3.235 3.597 -0.730
Ru Ba Cr
3 1 1
direct
0.000 0.500 0.000 Ru
0.000 0.000 0.500 Ru
0.500 0.000 0.000 Ru
0.000 0.000 0.000 Ba
0.500 0.500 0.500 Cr
```

Values from the calculation:
E above lowest polymorph ... 2347 meV per atom
Magnetization ... 0.14 Bohr magnetons per cell
Calculated volume ... 23.427 A^3/atom
ΔH_f (0 K) ... 307.7 kJ per mole of atoms



[4]
This record from Alexandria via LeMat-Bulk describes crystalline MgAs2IrSe at its relaxed geometry. The functional is GGA-PBE.

```
MgAs2IrSe
1.0
4.680 0.000 0.000
0.000 4.680 0.000
0.000 0.000 5.578
As Mg Se Ir
2 1 1 1
direct
0.000 0.500 0.000 As
0.500 0.000 0.000 As
0.500 0.500 0.500 Mg
0.000 0.000 0.500 Se
0.000 0.000 0.000 Ir
```

Values from the calculation:
E above lowest polymorph ... 0 meV per atom
Magnetization ... 0.00 Bohr magnetons per cell
Calculated volume ... 24.430 A^3/atom
Formation energy from raw total energies ... 0.292 eV per atom



[5]
This record from Alexandria via LeMat-Bulk describes crystalline BeCdCl4 at its relaxed geometry. The functional is GGA-PBE.

```
BeCdCl4
1.0
-4.997 4.686 1.122
-2.018 -0.568 -6.618
-5.934 -6.903 2.402
Cd Be Cl
2 2 8
direct
0.000 0.000 0.000 Cd
0.000 0.000 0.500 Cd
0.000 0.500 0.000 Be
0.500 0.000 0.500 Be
0.714 0.224 0.500 Cl
0.224 0.714 0.000 Cl
0.776 0.286 0.000 Cl
0.224 0.286 0.000 Cl
0.714 0.776 0.500 Cl
0.286 0.224 0.500 Cl
0.776 0.714 0.000 Cl
0.286 0.776 0.500 Cl
```

Values from the calculation:
E above lowest polymorph ... 0 meV per atom
Magnetization ... 0.00 Bohr magnetons per cell
Calculated volume ... 37.810 A^3/atom
Formation energy from raw total energies ... -0.950 eV per atom



[6]
This record from Alexandria via LeMat-Bulk describes crystalline YBr3F at its relaxed geometry. The functional is GGA-PBE.

```
YBr3F
1.0
5.563 0.000 0.000
0.000 5.563 0.000
0.000 0.000 5.563
Br Y F
3 1 1
direct
0.000 0.500 0.000 Br
0.000 0.000 0.500 Br
0.500 0.000 0.000 Br
0.000 0.000 0.000 Y
0.500 0.500 0.500 F
```

Values from the calculation:
E above lowest polymorph ... 0 meV per atom
Magnetization ... 1.00 Bohr magnetons per cell
Calculated volume ... 34.429 A^3/atom
Formation energy from raw total energies ... -1.272 eV per atom



[7]
This record from Alexandria via LeMat-Bulk describes crystalline TbGdAlIr at its relaxed geometry. The functional is GGA-PBE.

```
TbGdAlIr
1.0
-4.603 -0.039 -1.968
-3.991 -0.503 2.979
-3.073 3.881 0.744
Ir Gd Tb Al
1 1 1 1
direct
0.000 0.000 0.000 Ir
0.250 0.250 0.250 Gd
0.750 0.750 0.750 Tb
0.500 0.500 0.500 Al
```

Values from the calculation:
Magnetization ... 7.09 Bohr magnetons per cell
Calculated volume ... 22.175 A^3/atom
ΔH_f (0 K) ... -50.8 kJ per mole of atoms



[8]
This record from Alexandria via LeMat-Bulk describes crystalline SiIrBr at its relaxed geometry. The functional is GGA-PBE.

```
SiIrBr
1.0
-0.469 3.877 -1.790
-3.748 2.075 0.320
-0.318 3.489 2.486
Ir Si Br
1 1 1
direct
0.500 0.500 0.500 Ir
0.750 0.750 0.750 Si
0.000 0.000 0.000 Br
```

Values from the calculation:
E above lowest polymorph ... 1010 meV per atom
Magnetization ... 0.00 Bohr magnetons per cell
Calculated volume ... 18.683 A^3/atom
Formation energy from raw total energies ... 0.862 eV per atom



[9]
This record from Alexandria via LeMat-Bulk describes crystalline SiMoAu2 at its relaxed geometry. The functional is GGA-PBE.

```
SiMoAu2
1.0
-2.042 -0.709 1.823
2.264 0.061 1.693
-1.400 8.095 1.581
Si Au Mo
1 2 1
direct
0.500 0.500 0.737 Si
0.000 0.000 0.979 Au
0.500 0.500 0.261 Au
0.000 0.000 0.523 Mo
```

Values from the calculation:
Magnetization ... 0.00 Bohr magnetons per cell
Calculated volume ... 16.395 A^3/atom
Formation energy from raw total energies ... 0.158 eV per atom



[10]
This record from Alexandria via LeMat-Bulk describes crystalline CsSiI3 at its relaxed geometry. The functional is GGA-PBE.

```
CsSiI3
1.0
-5.932 -4.247 -4.367
2.428 -6.948 3.465
-7.736 -5.459 4.008
Cs I Si
2 6 2
direct
0.746 0.465 0.329 Cs
0.359 0.061 0.134 Cs
0.220 0.961 0.844 I
0.388 0.536 0.185 I
0.221 0.452 0.843 I
0.883 0.564 0.620 I
0.882 0.073 0.620 I
0.715 0.990 0.279 I
0.995 0.182 0.893 Si
0.108 0.343 0.570 Si
```

Values from the calculation:
Magnetization ... 0.00 Bohr magnetons per cell
Calculated volume ... 50.071 A^3/atom
Formation energy from raw total energies ... -0.732 eV per atom



[11]
This record from Alexandria via LeMat-Bulk describes crystalline Rb3Sm2ZrTe6 at its relaxed geometry. The functional is GGA-PBE.

```
Rb3Sm2ZrTe6
1.0
7.752 -0.003 -0.002
-3.876 6.713 -0.002
-1.294 -2.241 8.610
Rb Sm Te Zr
3 2 6 1
direct
0.828 0.172 0.500 Rb
0.500 0.500 0.500 Rb
0.172 0.828 0.500 Rb
0.666 0.334 0.000 Sm
0.334 0.666 0.000 Sm
0.066 0.384 0.200 Te
0.616 0.934 0.800 Te
0.751 0.751 0.202 Te
0.249 0.249 0.798 Te
0.934 0.616 0.800 Te
0.384 0.066 0.200 Te
0.000 0.000 0.000 Zr
```

Values from the calculation:
Magnetization ... 0.71 Bohr magnetons per cell
Calculated volume ... 37.328 A^3/atom
Formation energy from raw total energies ... -1.225 eV per atom



[12]
This record from Alexandria via LeMat-Bulk describes crystalline Na2Sr8Mg at its relaxed geometry. The functional is GGA-PBE.

```
Na2Sr8Mg
1.0
6.353 0.000 0.000
0.000 8.757 0.064
-3.177 -3.669 9.601
Sr Na Mg
8 2 1
direct
0.339 0.059 0.677 Sr
0.816 0.741 0.632 Sr
0.661 0.941 0.323 Sr
0.976 0.218 0.951 Sr
0.184 0.259 0.368 Sr
0.406 0.565 0.813 Sr
0.024 0.782 0.049 Sr
0.594 0.435 0.187 Sr
0.814 0.317 0.629 Na
0.186 0.683 0.371 Na
0.500 0.000 0.000 Mg
```

Values from the calculation:
E above lowest polymorph ... 24 meV per atom
Magnetization ... 0.00 Bohr magnetons per cell
Calculated volume ... 48.693 A^3/atom
ΔH_f (0 K) ... 3.8 kJ per mole of atoms



[13]
This record from Alexandria via LeMat-Bulk describes crystalline RbTe2HRu at its relaxed geometry. The functional is GGA-PBE.

```
RbTe2HRu
1.0
5.739 0.000 0.000
0.000 3.415 0.000
0.000 0.000 5.739
Rb Te H Ru
1 2 1 1
direct
0.500 0.500 0.500 Rb
0.500 0.000 0.000 Te
0.000 0.000 0.500 Te
0.000 0.000 0.000 H
0.000 0.500 0.000 Ru
```

Values from the calculation:
Magnetization ... 1.05 Bohr magnetons per cell
E ... -18.09 eV for the cell shown
Calculated volume ... 22.501 A^3/atom



[14]
This record from Alexandria via LeMat-Bulk describes crystalline AcReAs at its relaxed geometry. The functional is GGA-PBE.

```
AcReAs
1.0
7.889 0.000 0.000
-3.945 5.075 0.000
0.000 0.000 8.220
As Re Ac
4 4 4
direct
0.347 0.193 0.250 As
0.653 0.807 0.750 As
0.847 0.193 0.250 As
0.153 0.807 0.750 As
0.009 0.019 0.859 Re
0.509 0.019 0.641 Re
0.491 0.981 0.359 Re
0.991 0.981 0.141 Re
0.303 0.607 0.063 Ac
0.697 0.393 0.937 Ac
0.803 0.607 0.437 Ac
0.197 0.393 0.563 Ac
```

Values from the calculation:
E above lowest polymorph ... 0 meV per atom
Magnetization ... 0.00 Bohr magnetons per cell
Calculated volume ... 27.427 A^3/atom
ΔH_f (0 K) ... -13.8 kJ per mole of atoms



[15]
This record from Alexandria via LeMat-Bulk describes crystalline Ho4Cu2Pt at its relaxed geometry. The functional is GGA-PBE.

```
Ho4Cu2Pt
1.0
7.643 -0.775 -0.040
-1.345 7.298 0.176
-2.943 -3.304 5.971
Ho Cu Pt
8 4 2
direct
0.758 0.027 0.660 Ho
0.492 0.652 0.770 Ho
0.965 0.319 0.246 Ho
0.361 0.126 0.383 Ho
0.903 0.533 0.717 Ho
0.347 0.564 0.130 Ho
0.284 0.031 0.854 Ho
0.889 0.773 0.265 Ho
0.623 0.348 0.883 Cu
0.625 0.390 0.265 Cu
0.626 0.010 0.224 Cu
0.125 0.265 0.640 Cu
0.283 0.771 0.474 Pt
0.967 0.941 0.988 Pt
```

Values from the calculation:
E above lowest polymorph ... 0 meV per atom
Magnetization ... 0.00 Bohr magnetons per cell
Calculated volume ... 23.614 A^3/atom
ΔH_f (0 K) ... -45.9 kJ per mole of atoms



[16]
This record from Alexandria via LeMat-Bulk describes crystalline AlNiAs at its relaxed geometry. The functional is GGA-PBE.

```
AlNiAs
1.0
-4.176 1.353 -0.947
-1.914 -2.042 -3.512
2.164 -1.353 3.695
Al Ni As
1 1 1
direct
0.001 0.001 0.000 Al
0.665 0.665 0.000 Ni
0.334 0.334 0.000 As
```

Values from the calculation:
Magnetization ... 0.00 Bohr magnetons per cell
Calculated volume ... 14.670 A^3/atom
ΔH_f (0 K) ... -10.0 kJ per mole of atoms



[17]
This record from Alexandria via LeMat-Bulk describes crystalline Pr8IrRu3Cl4 at its relaxed geometry. The functional is GGA-PBE.

```
Pr8IrRu3Cl4
1.0
8.211 0.000 0.000
0.000 8.982 0.537
-4.106 -4.103 5.810
Pr Cl Ru Ir
8 4 3 1
direct
0.264 0.293 0.529 Pr
0.731 0.706 0.968 Pr
0.269 0.294 0.032 Pr
0.736 0.707 0.471 Pr
0.763 0.294 0.032 Pr
0.763 0.294 0.526 Pr
0.237 0.706 0.474 Pr
0.237 0.706 0.968 Pr
0.500 0.000 0.000 Cl
0.500 0.000 0.500 Cl
0.000 0.000 0.500 Cl
0.000 0.000 0.000 Cl
0.000 0.500 0.500 Ru
0.500 0.500 0.500 Ru
0.500 0.500 0.000 Ru
0.000 0.500 0.000 Ir
```

Values from the calculation:
Magnetization ... 0.00 Bohr magnetons per cell
Calculated volume ... 27.910 A^3/atom
Formation energy from raw total energies ... -0.931 eV per atom



[18]
This record from Alexandria via LeMat-Bulk describes crystalline PrDy7Ho12 at its relaxed geometry. The functional is GGA-PBE.

```
PrDy7Ho12
1.0
-3.203 -5.583 -7.286
-1.931 -4.328 8.489
-4.464 8.631 -0.327
Dy Ho Pr
7 12 1
direct
0.000 0.500 0.000 Dy
0.000 0.500 0.500 Dy
0.000 0.000 0.500 Dy
0.500 0.500 0.500 Dy
0.500 0.000 0.500 Dy
0.500 0.000 0.000 Dy
0.500 0.500 0.000 Dy
0.745 0.000 0.255 Ho
0.745 0.745 0.490 Ho
0.255 0.510 0.255 Ho
0.255 0.000 0.745 Ho
0.255 0.745 0.000 Ho
0.000 0.745 0.255 Ho
0.745 0.490 0.745 Ho
0.490 0.745 0.745 Ho
0.510 0.255 0.255 Ho
0.745 0.255 0.000 Ho
0.255 0.255 0.510 Ho
0.000 0.255 0.745 Ho
0.000 0.000 0.000 Pr
```

Values from the calculation:
E above lowest polymorph ... 401 meV per atom
Magnetization ... 0.00 Bohr magnetons per cell
Calculated volume ... 35.370 A^3/atom
ΔH_f (0 K) ... 68.1 kJ per mole of atoms



[19]
This record from Alexandria via LeMat-Bulk describes crystalline DyMgSbAu at its relaxed geometry. The functional is GGA-PBE.

```
DyMgSbAu
1.0
-2.686 4.122 1.325
-4.751 -0.515 1.769
-1.003 0.917 4.911
Mg Au Sb Dy
1 1 1 1
direct
0.500 0.500 0.500 Mg
0.750 0.750 0.750 Au
0.250 0.250 0.250 Sb
0.000 0.000 0.000 Dy
```

Values from the calculation:
Magnetization ... 0.00 Bohr magnetons per cell
Calculated volume ... 23.385 A^3/atom
Formation energy from raw total energies ... -0.573 eV per atom



[20]
This record from Alexandria via LeMat-Bulk describes crystalline Cs3Mo2Br9 at its relaxed geometry. The functional is GGA-PBE.

```
Cs3Mo2Br9
1.0
-5.912 4.334 2.853
1.296 -7.228 2.822
11.740 7.284 13.265
Br Mo Cs
18 4 6
direct
0.505 0.495 0.250 Br
0.179 0.821 0.597 Br
0.821 0.179 0.403 Br
0.821 0.643 0.403 Br
0.821 0.179 0.097 Br
0.357 0.179 0.403 Br
0.179 0.821 0.903 Br
0.010 0.505 0.750 Br
0.495 0.505 0.750 Br
0.495 0.990 0.750 Br
0.990 0.495 0.250 Br
0.357 0.179 0.097 Br
0.179 0.357 0.903 Br
0.643 0.821 0.903 Br
0.179 0.357 0.597 Br
0.643 0.821 0.597 Br
0.505 0.010 0.250 Br
0.821 0.643 0.097 Br
0.333 0.667 0.675 Mo
0.333 0.667 0.825 Mo
0.667 0.333 0.325 Mo
0.667 0.333 0.175 Mo
0.667 0.333 0.933 Cs
0.000 0.000 0.250 Cs
0.000 0.000 0.750 Cs
0.667 0.333 0.567 Cs
0.333 0.667 0.433 Cs
0.333 0.667 0.067 Cs
```

Values from the calculation:
Magnetization ... 7.99 Bohr magnetons per cell
Calculated volume ... 36.659 A^3/atom
Formation energy from raw total energies ... -1.127 eV per atom



[21]
This record from Alexandria via LeMat-Bulk describes crystalline HfBeTe at its relaxed geometry. The functional is GGA-PBE.

```
HfBeTe
1.0
-6.641 -1.883 -2.077
1.414 -3.215 -1.607
1.551 -3.752 8.874
Te Be Hf
4 4 4
direct
0.550 0.500 0.963 Te
0.930 0.500 0.768 Te
0.550 0.000 0.463 Te
0.930 0.000 0.268 Te
0.227 0.000 0.538 Be
0.129 0.000 0.101 Be
0.227 0.500 0.038 Be
0.129 0.500 0.601 Be
0.479 0.000 0.159 Hf
0.238 0.000 0.807 Hf
0.238 0.500 0.307 Hf
0.479 0.500 0.659 Hf
```

Values from the calculation:
E above lowest polymorph ... 268 meV per atom
Magnetization ... 0.00 Bohr magnetons per cell
Calculated volume ... 21.541 A^3/atom
Formation energy from raw total energies ... -0.321 eV per atom



[22]
This record from Alexandria via LeMat-Bulk describes crystalline La2Zn7Pt at its relaxed geometry. The functional is GGA-PBE.

```
La2Zn7Pt
1.0
-3.501 -1.709 -2.106
-1.915 -0.879 3.895
-4.387 9.109 -0.101
Zn La Pt
7 2 1
direct
0.000 0.500 0.627 Zn
0.000 0.000 0.500 Zn
0.500 0.500 0.500 Zn
0.500 0.000 0.128 Zn
0.000 0.000 0.000 Zn
0.000 0.500 0.872 Zn
0.500 0.000 0.373 Zn
0.000 0.500 0.243 La
0.500 0.000 0.757 La
0.500 0.500 0.000 Pt
```

Values from the calculation:
Magnetization ... 0.00 Bohr magnetons per cell
Calculated volume ... 19.830 A^3/atom
ΔH_f (0 K) ... -41.0 kJ per mole of atoms



[23]
This record from Alexandria via LeMat-Bulk describes crystalline LaAl2Ag2 at its relaxed geometry. The functional is GGA-PBE.

```
LaAl2Ag2
1.0
6.073 0.000 0.006
3.037 5.450 0.002
3.038 0.001 6.786
Ag Al La
4 4 2
direct
0.583 0.335 0.250 Ag
0.167 0.166 0.250 Ag
0.833 0.834 0.750 Ag
0.417 0.665 0.750 Ag
0.275 0.750 0.453 Al
0.476 0.750 0.047 Al
0.725 0.250 0.547 Al
0.524 0.250 0.953 Al
0.875 0.751 0.250 La
0.125 0.249 0.750 La
```

Values from the calculation:
Magnetization ... 0.00 Bohr magnetons per cell
Calculated volume ... 22.452 A^3/atom
ΔH_f (0 K) ... -24.9 kJ per mole of atoms